Computed, not measured: a relaxed structure of Ti2SiB at the PBE level of DFT. Values from VASP.

Geometry as Quantum ESPRESSO input:
```
&SYSTEM
  ibrav = 0, nat = 8, ntyp = 3
/
ATOMIC_SPECIES
Ti 47.87 Ti.upf
Si 28.09 Si.upf
B 10.81 B.upf
CELL_PARAMETERS angstrom
4.825 0.000 0.000
0.000 3.265 0.000
-2.247 0.000 6.471
ATOMIC_POSITIONS angstrom
Ti 0.016 0.816 2.677
Ti 1.104 2.449 0.393
Ti 1.474 0.816 6.078
Ti 2.562 2.449 3.794
Si 0.139 2.449 4.642
Si 2.439 0.816 1.829
B -1.100 0.816 5.106
B 3.678 2.449 1.365
```

Properties
The uncorrected formation energy comes out at -0.747 eV/atom.

Computed, not measured: a relaxed structure of TiSi2B at the PBE level of DFT. Values from VASP.

Geometry as Quantum ESPRESSO input:
```
&SYSTEM
  ibrav = 0, nat = 16, ntyp = 3
/
ATOMIC_SPECIES
Ti 47.87 Ti.upf
Si 28.09 Si.upf
B 10.81 B.upf
CELL_PARAMETERS angstrom
6.313 0.000 0.000
0.000 6.313 0.000
0.000 0.000 5.209
ATOMIC_POSITIONS angstrom
Ti 0.000 0.000 0.000
Ti 0.000 3.157 1.302
Ti 3.157 0.000 3.906
Ti 3.157 3.157 2.604
Si 1.104 1.578 3.255
Si 1.578 4.261 4.558
Si 1.578 5.210 1.953
Si 2.053 1.578 0.651
Si 4.261 4.735 0.651
Si 4.735 1.104 1.953
Si 4.735 2.053 4.558
Si 5.210 4.735 3.255
B 0.000 0.000 2.604
B 0.000 3.157 3.906
B 3.157 0.000 1.302
B 3.157 3.157 0.000
```

Properties
The uncorrected formation energy comes out at -0.007 eV/atom.

Computed, not measured: a relaxed structure of Ti4SiB at the PBE level of DFT. Values from VASP.

Geometry as Quantum ESPRESSO input:
```
&SYSTEM
  ibrav = 0, nat = 12, ntyp = 3
/
ATOMIC_SPECIES
Ti 47.87 Ti.upf
Si 28.09 Si.upf
B 10.81 B.upf
CELL_PARAMETERS angstrom
5.920 0.000 0.000
0.000 5.920 0.000
0.000 0.000 4.841
ATOMIC_POSITIONS angstrom
Ti 0.851 1.922 0.000
Ti 0.851 3.998 2.421
Ti 1.922 0.851 2.421
Ti 1.922 5.069 0.000
Ti 3.998 0.851 0.000
Ti 3.998 5.069 2.421
Ti 5.069 1.922 2.421
Ti 5.069 3.998 0.000
Si 2.960 2.960 1.210
Si 2.960 2.960 3.631
B 0.000 0.000 1.210
B 0.000 0.000 3.631
```

Properties
The uncorrected formation energy comes out at -0.534 eV/atom.

Computed, not measured: a relaxed structure of Ti2SiB at the PBE level of DFT. Values from VASP.

Geometry as Quantum ESPRESSO input:
```
&SYSTEM
  ibrav = 0, nat = 16, ntyp = 3
/
ATOMIC_SPECIES
Ti 47.87 Ti.upf
Si 28.09 Si.upf
B 10.81 B.upf
CELL_PARAMETERS angstrom
6.435 0.000 0.000
0.000 6.435 0.000
0.000 0.000 5.289
ATOMIC_POSITIONS angstrom
Ti 1.415 1.609 0.661
Ti 1.609 4.632 1.983
Ti 1.609 5.021 4.628
Ti 1.803 1.609 3.306
Ti 4.632 4.827 3.306
Ti 4.827 1.415 4.628
Ti 4.827 1.803 1.983
Ti 5.021 4.827 0.661
Si 0.000 0.000 2.645
Si 0.000 3.218 3.967
Si 3.218 0.000 1.322
Si 3.218 3.218 0.000
B 0.000 0.000 0.000
B 0.000 3.218 1.322
B 3.218 0.000 3.967
B 3.218 3.218 2.645
```

Properties
The uncorrected formation energy comes out at -0.141 eV/atom.

Computed, not measured: a relaxed structure of TiZnSiB2 at the PBE level of DFT. Values from VASP.

Geometry as Quantum ESPRESSO input:
```
&SYSTEM
  ibrav = 0, nat = 5, ntyp = 4
/
ATOMIC_SPECIES
Ti 47.87 Ti.upf
Zn 65.41 Zn.upf
Si 28.09 Si.upf
B 10.81 B.upf
CELL_PARAMETERS angstrom
3.909 0.000 0.000
0.000 3.909 0.000
0.000 0.000 4.570
ATOMIC_POSITIONS angstrom
Ti 0.000 0.000 0.000
Zn 1.954 1.954 0.000
Si 1.954 1.954 2.285
B 0.000 1.954 2.285
B 1.954 0.000 2.285
```

Properties
The uncorrected formation energy comes out at 1.089 eV/atom.

Computed, not measured: a relaxed structure of TiZnSiB2 at the PBE level of DFT. Values from VASP.

Geometry as Quantum ESPRESSO input:
```
&SYSTEM
  ibrav = 0, nat = 5, ntyp = 4
/
ATOMIC_SPECIES
Ti 47.87 Ti.upf
Zn 65.41 Zn.upf
Si 28.09 Si.upf
B 10.81 B.upf
CELL_PARAMETERS angstrom
3.805 0.000 0.000
0.000 3.805 0.000
0.000 0.000 5.042
ATOMIC_POSITIONS angstrom
Ti 0.000 0.000 0.000
Zn 1.902 1.902 2.521
Si 1.902 1.902 0.000
B 0.000 1.902 2.521
B 1.902 0.000 2.521
```

Properties
The uncorrected formation energy comes out at 1.280 eV/atom.

Computed, not measured: a relaxed structure of Tl2SiB at the PBE level of DFT. Values from VASP.

Geometry as Quantum ESPRESSO input:
```
&SYSTEM
  ibrav = 0, nat = 16, ntyp = 3
/
ATOMIC_SPECIES
Tl 204.38 Tl.upf
Si 28.09 Si.upf
B 10.81 B.upf
CELL_PARAMETERS angstrom
6.066 0.000 0.000
0.000 6.066 0.000
0.000 0.000 10.673
ATOMIC_POSITIONS angstrom
Tl 1.168 1.516 1.334
Tl 1.516 4.201 4.002
Tl 1.516 4.898 9.339
Tl 1.865 1.516 6.671
Tl 4.201 4.549 6.671
Tl 4.549 1.168 9.339
Tl 4.549 1.865 4.002
Tl 4.898 4.549 1.334
Si 0.000 0.000 5.337
Si 0.000 3.033 8.005
Si 3.033 0.000 2.668
Si 3.033 3.033 0.000
B 0.000 0.000 0.000
B 0.000 3.033 2.668
B 3.033 0.000 8.005
B 3.033 3.033 5.337
```

Properties
The uncorrected formation energy comes out at 1.083 eV/atom.

Computed, not measured: a relaxed structure of TlSi2B at the PBE level of DFT. Values from VASP.

Geometry as Quantum ESPRESSO input:
```
&SYSTEM
  ibrav = 0, nat = 16, ntyp = 3
/
ATOMIC_SPECIES
Tl 204.38 Tl.upf
Si 28.09 Si.upf
B 10.81 B.upf
CELL_PARAMETERS angstrom
5.615 0.000 0.000
0.000 5.615 0.000
0.000 0.000 9.714
ATOMIC_POSITIONS angstrom
Tl 0.000 0.000 0.000
Tl 0.000 2.807 2.428
Tl 2.807 0.000 7.285
Tl 2.807 2.807 4.857
Si 0.823 1.404 6.071
Si 1.404 3.630 8.499
Si 1.404 4.792 3.643
Si 1.984 1.404 1.214
Si 3.630 4.211 1.214
Si 4.211 0.823 3.643
Si 4.211 1.984 8.499
Si 4.792 4.211 6.071
B 0.000 0.000 4.857
B 0.000 2.807 7.285
B 2.807 0.000 2.428
B 2.807 2.807 0.000
```

Properties
The uncorrected formation energy comes out at 0.483 eV/atom.

Computed, not measured: a relaxed structure of TlSi2B at the PBE level of DFT. Values from VASP.

Geometry as Quantum ESPRESSO input:
```
&SYSTEM
  ibrav = 0, nat = 16, ntyp = 3
/
ATOMIC_SPECIES
Tl 204.38 Tl.upf
Si 28.09 Si.upf
B 10.81 B.upf
CELL_PARAMETERS angstrom
6.541 0.000 0.000
0.000 6.541 0.000
0.000 0.000 6.541
ATOMIC_POSITIONS angstrom
Tl 0.000 0.000 0.000
Tl 0.000 3.271 3.271
Tl 3.271 0.000 3.271
Tl 3.271 3.271 0.000
Si 1.635 1.635 1.635
Si 1.635 1.635 4.906
Si 1.635 4.906 1.635
Si 1.635 4.906 4.906
Si 4.906 1.635 1.635
Si 4.906 1.635 4.906
Si 4.906 4.906 1.635
Si 4.906 4.906 4.906
B 0.000 0.000 3.271
B 0.000 3.271 0.000
B 3.271 0.000 0.000
B 3.271 3.271 3.271
```

Properties
The uncorrected formation energy comes out at 1.407 eV/atom.

Computed, not measured: a relaxed structure of TlSiB2 at the PBE level of DFT. Values from VASP.

Geometry as Quantum ESPRESSO input:
```
&SYSTEM
  ibrav = 0, nat = 16, ntyp = 3
/
ATOMIC_SPECIES
Tl 204.38 Tl.upf
Si 28.09 Si.upf
B 10.81 B.upf
CELL_PARAMETERS angstrom
6.139 0.000 0.000
0.000 6.139 0.000
0.000 0.000 6.139
ATOMIC_POSITIONS angstrom
Tl 0.000 0.000 0.000
Tl 0.000 3.069 3.069
Tl 3.069 0.000 3.069
Tl 3.069 3.069 0.000
Si 0.000 0.000 3.069
Si 0.000 3.069 0.000
Si 3.069 0.000 0.000
Si 3.069 3.069 3.069
B 1.535 1.535 1.535
B 1.535 1.535 4.604
B 1.535 4.604 1.535
B 1.535 4.604 4.604
B 4.604 1.535 1.535
B 4.604 1.535 4.604
B 4.604 4.604 1.535
B 4.604 4.604 4.604
```

Properties
The uncorrected formation energy comes out at 1.763 eV/atom.

Computed, not measured: a relaxed structure of Tl2SiB at the PBE level of DFT. Values from VASP.

Geometry as Quantum ESPRESSO input:
```
&SYSTEM
  ibrav = 0, nat = 16, ntyp = 3
/
ATOMIC_SPECIES
Tl 204.38 Tl.upf
Si 28.09 Si.upf
B 10.81 B.upf
CELL_PARAMETERS angstrom
7.006 0.000 0.000
0.000 7.006 0.000
0.000 0.000 7.006
ATOMIC_POSITIONS angstrom
Tl 1.751 1.751 1.751
Tl 1.751 1.751 5.254
Tl 1.751 5.254 1.751
Tl 1.751 5.254 5.254
Tl 5.254 1.751 1.751
Tl 5.254 1.751 5.254
Tl 5.254 5.254 1.751
Tl 5.254 5.254 5.254
Si 0.000 0.000 0.000
Si 0.000 3.503 3.503
Si 3.503 0.000 3.503
Si 3.503 3.503 0.000
B 0.000 0.000 3.503
B 0.000 3.503 0.000
B 3.503 0.000 0.000
B 3.503 3.503 3.503
```

Properties
The uncorrected formation energy comes out at 1.233 eV/atom.

Computed, not measured: a relaxed structure of TlSiB3 at the PBE level of DFT. Values from VASP.

Geometry as Quantum ESPRESSO input:
```
&SYSTEM
  ibrav = 0, nat = 5, ntyp = 3
/
ATOMIC_SPECIES
Tl 204.38 Tl.upf
Si 28.09 Si.upf
B 10.81 B.upf
CELL_PARAMETERS angstrom
4.530 0.000 0.000
0.000 4.530 0.000
0.000 0.000 4.530
ATOMIC_POSITIONS angstrom
Tl 0.000 0.000 0.000
Si 2.265 2.265 2.265
B 0.000 0.000 2.265
B 0.000 2.265 0.000
B 2.265 0.000 0.000
```

Properties
The uncorrected formation energy comes out at 2.706 eV/atom.